[1]
A relaxed LiMg crystal. Source: Alexandria, functional PBEsol.

## Properties
E_form = -0.04 eV per atom
Space-group type = Cmmm, No. 65

Cell: 3.008 3.008 4.811 Å, 90.00 90.00 110.03°
Positions (direct):
Mg 0.500 0.500 0.500
Li 0.000 0.000 0.000

[2]
A relaxed MnTl2P crystal. Source: Alexandria, functional PBEsol.

## Properties
E_form = 0.58 eV per atom
Space-group type = Cmmm, No. 65

Cell: 3.223 5.157 5.157 Å, 106.41 90.00 90.00°
Positions (direct):
Mn 0.500 0.000 0.000
P 0.500 0.500 0.500
Tl 0.000 0.500 0.000
Tl 0.000 0.000 0.500

[3]
A relaxed MgS3O crystal. Source: Alexandria, functional PBEsol.

## Properties
Space-group type = Pm-3m, No. 221
ΔE_f (raw) = 147 meV/atom

Cell: 4.236 4.236 4.236 Å, 90.00 90.00 90.00°
Positions (direct):
S 0.000 0.000 0.500
S 0.500 0.000 0.000
S 0.000 0.500 0.000
O 0.000 0.000 0.000
Mg 0.500 0.500 0.500

[4]
A relaxed NaSmP2H4CO7 crystal. Source: Alexandria, functional PBEsol.

## Properties
Space-group type = P2_1/c, No. 14
Uncorrected energy = -6.7203 eV/atom

Cell: 6.659 6.675 14.969 Å, 90.00 90.00 90.65°
Positions (direct):
O 0.749 0.355 0.600
O 0.476 0.330 0.062
O 0.096 0.490 0.114
O 0.474 0.005 0.861
O 0.933 0.639 0.251
O 0.596 0.490 0.386
O 0.354 0.075 0.664
O 0.146 0.925 0.164
O 0.526 0.995 0.139
O 0.773 0.133 0.020
O 0.567 0.361 0.751
O 0.249 0.355 0.900
O 0.251 0.645 0.400
O 0.273 0.133 0.480
O 0.751 0.645 0.100
O 0.433 0.639 0.249
O 0.067 0.361 0.749
O 0.026 0.995 0.361
O 0.974 0.005 0.639
O 0.854 0.075 0.836
O 0.227 0.867 0.980
O 0.524 0.670 0.938
O 0.404 0.510 0.614
O 0.904 0.510 0.886
O 0.024 0.670 0.562
O 0.646 0.925 0.336
O 0.976 0.330 0.438
O 0.727 0.867 0.520
H 0.072 0.849 0.212
H 0.428 0.151 0.712
H 0.572 0.849 0.288
H 0.263 0.993 0.191
H 0.237 0.007 0.691
H 0.319 0.683 0.754
H 0.394 0.183 0.294
H 0.819 0.683 0.746
H 0.106 0.817 0.794
H 0.894 0.183 0.206
H 0.928 0.151 0.788
H 0.681 0.317 0.246
H 0.763 0.993 0.309
H 0.737 0.007 0.809
H 0.181 0.317 0.254
H 0.606 0.817 0.706
Na 0.366 0.808 0.530
Na 0.134 0.192 0.030
Na 0.634 0.192 0.470
Na 0.866 0.808 0.970
C 0.223 0.708 0.813
C 0.277 0.292 0.313
C 0.723 0.708 0.687
C 0.777 0.292 0.187
P 0.606 0.468 0.661
P 0.894 0.532 0.161
P 0.869 0.821 0.599
P 0.631 0.179 0.099
P 0.131 0.179 0.401
P 0.106 0.468 0.839
P 0.369 0.821 0.901
P 0.394 0.532 0.339
Sm 0.104 0.325 0.597
Sm 0.896 0.675 0.403
Sm 0.604 0.325 0.903
Sm 0.396 0.675 0.097

[5]
A relaxed SbTeW2 crystal. Source: Alexandria, functional PBEsol.

## Properties
Space-group type = Immm, No. 71
ΔE_f (raw) = 1090 meV/atom

Cell: 3.298 5.254 5.392 Å, 119.16 107.81 90.00°
Positions (direct):
Te 0.500 0.000 0.000
W 0.254 0.254 0.508
W 0.746 0.746 0.492
Sb 0.000 0.500 0.000

[6]
A relaxed SmCuO3 crystal. Source: Alexandria, functional PBEsol.

## Properties
Space-group type = Pnma, No. 62
ΔE_f (raw) = -2034 meV/atom

Cell: 5.241 6.233 7.072 Å, 90.00 90.00 90.00°
Positions (direct):
O 0.788 0.838 0.454
O 0.712 0.338 0.046
O 0.110 0.464 0.250
O 0.610 0.036 0.750
O 0.288 0.662 0.546
O 0.288 0.662 0.954
O 0.890 0.536 0.750
O 0.712 0.338 0.454
O 0.212 0.162 0.546
O 0.788 0.838 0.046
O 0.212 0.162 0.954
O 0.390 0.964 0.250
Sm 0.527 0.601 0.250
Sm 0.473 0.399 0.750
Sm 0.973 0.101 0.250
Sm 0.027 0.899 0.750
Cu 0.500 0.000 0.000
Cu 0.500 0.000 0.500
Cu 0.000 0.500 0.000
Cu 0.000 0.500 0.500

[7]
A relaxed BaFeI2O crystal. Source: Alexandria, functional PBEsol.

## Properties
Space-group type = P4/mmm, No. 123
ΔE_f (raw) = 103 meV/atom

Cell: 4.415 6.572 6.572 Å, 90.00 90.00 90.00°
Positions (direct):
Ba 0.000 0.000 0.000
O 0.500 0.000 0.000
I 0.000 0.000 0.500
I 0.000 0.500 0.000
Fe 0.500 0.500 0.500

[8]
A relaxed K2MgSn crystal. Source: Alexandria, functional PBEsol.

## Properties
E_form = 0.16 eV per atom
Space-group type = Fm-3m, No. 225

Cell: 5.850 5.850 5.850 Å, 60.00 60.00 60.00°
Positions (direct):
K 0.250 0.250 0.250
K 0.750 0.750 0.750
Sn 0.500 0.500 0.500
Mg 0.000 0.000 0.000

[9]
A relaxed Er3Ga5 crystal. Source: Alexandria, functional PBEsol.

## Properties
E_form = -0.70 eV per atom
Space-group type = Pnma, No. 62

Cell: 5.944 9.469 11.209 Å, 90.00 90.00 90.00°
Positions (direct):
Er 0.654 0.750 0.427
Er 0.610 0.509 0.148
Er 0.610 0.991 0.148
Er 0.846 0.750 0.927
Er 0.390 0.491 0.852
Er 0.154 0.250 0.073
Er 0.390 0.009 0.852
Er 0.110 0.009 0.352
Er 0.890 0.509 0.648
Er 0.110 0.491 0.352
Er 0.346 0.250 0.573
Er 0.890 0.991 0.648
Ga 0.625 0.052 0.409
Ga 0.375 0.552 0.591
Ga 0.104 0.250 0.799
Ga 0.396 0.250 0.299
Ga 0.829 0.250 0.252
Ga 0.625 0.448 0.409
Ga 0.375 0.948 0.591
Ga 0.896 0.750 0.201
Ga 0.171 0.750 0.748
Ga 0.875 0.052 0.909
Ga 0.671 0.250 0.752
Ga 0.870 0.250 0.506
Ga 0.329 0.750 0.248
Ga 0.125 0.948 0.091
Ga 0.370 0.750 0.994
Ga 0.630 0.250 0.006
Ga 0.875 0.448 0.909
Ga 0.604 0.750 0.701
Ga 0.125 0.552 0.091
Ga 0.130 0.750 0.494

[10]
A relaxed LuTaO4 crystal. Source: Alexandria, functional PBEsol.

## Properties
Space-group type = C2/c, No. 15
ΔE_f (raw) = -3326 meV/atom

Cell: 4.997 5.188 6.354 Å, 111.75 110.73 95.51°
Positions (direct):
O 0.789 0.949 0.573
O 0.716 0.376 0.427
O 0.284 0.624 0.573
O 0.211 0.051 0.427
O 0.506 0.782 0.060
O 0.494 0.218 0.940
O 0.055 0.278 0.060
O 0.945 0.722 0.940
Ta 0.647 0.897 0.795
Ta 0.353 0.103 0.205
Lu 0.118 0.368 0.737
Lu 0.882 0.632 0.263

[11]
A relaxed BaGaSCl2 crystal. Source: Alexandria, functional PBEsol.

## Properties
Space-group type = P4/mmm, No. 123
ΔE_f (raw) = -1446 meV/atom

Cell: 4.849 5.046 5.046 Å, 90.00 90.00 90.00°
Positions (direct):
S 0.500 0.000 0.000
Cl 0.000 0.500 0.000
Cl 0.000 0.000 0.500
Ba 0.500 0.500 0.500
Ga 0.000 0.000 0.000

[12]
A relaxed NaSc2TiTc crystal. Source: Alexandria, functional PBEsol.

## Properties
E_form = 0.34 eV per atom
Space-group type = P4/mmm, No. 123

Cell: 4.692 5.088 5.088 Å, 90.00 90.00 90.00°
Positions (direct):
Ti 0.500 0.000 0.000
Na 0.500 0.500 0.500
Sc 0.000 0.500 0.000
Sc 0.000 0.000 0.500
Tc 0.000 0.000 0.000

[13]
A relaxed Ti2Tc2I crystal. Source: Alexandria, functional PBEsol.

## Properties
Space-group type = I4/mmm, No. 139
ΔE_f (raw) = 512 meV/atom

Cell: 4.104 4.104 6.144 Å, 109.51 109.51 90.00°
Positions (direct):
Ti 0.250 0.750 0.500
Ti 0.750 0.250 0.500
Tc 0.385 0.385 0.770
Tc 0.615 0.615 0.230
I 0.000 0.000 0.000

[14]
A relaxed YAg2Pb2 crystal. Source: Alexandria, functional PBEsol.

## Properties
E_form = -0.07 eV per atom
Space-group type = I4/mmm, No. 139

Cell: 4.306 4.306 7.213 Å, 107.37 107.37 90.00°
Positions (direct):
Ag 0.250 0.750 0.500
Ag 0.750 0.250 0.500
Pb 0.389 0.389 0.779
Pb 0.611 0.611 0.221
Y 0.000 0.000 0.000

[15]
A relaxed Zr2ScAu crystal. Source: Alexandria, functional PBEsol.

## Properties
E_form = -0.18 eV per atom
Space-group type = F-43m, No. 216

Cell: 4.816 4.816 4.816 Å, 60.00 60.00 60.00°
Positions (direct):
Sc 0.250 0.250 0.250
Zr 0.000 0.000 0.000
Zr 0.750 0.750 0.750
Au 0.500 0.500 0.500

[16]
A relaxed WO2 crystal. Source: Alexandria, functional PBEsol.

## Properties
Space-group type = P6_3/mmc, No. 194
ΔE_f (raw) = -1560 meV/atom

Cell: 2.874 2.875 11.209 Å, 90.00 90.00 119.99°
Positions (direct):
O 0.667 0.334 0.607
O 0.333 0.666 0.107
O 0.667 0.334 0.893
O 0.333 0.666 0.393
W 0.000 0.000 0.000
W 0.000 0.000 0.500

[17]
A relaxed Cd2OsSe crystal. Source: Alexandria, functional PBEsol.

## Properties
Space-group type = R3m, No. 160
ΔE_f (raw) = 221 meV/atom

Cell: 2.985 2.985 10.147 Å, 81.54 81.54 60.00°
Positions (direct):
Se 0.230 0.230 0.311
Cd 0.004 0.004 0.988
Cd 0.761 0.761 0.716
Os 0.505 0.505 0.485

[18]
A relaxed Na6CuO4 crystal. Source: Alexandria, functional PBEsol.

## Properties
Space-group type = Cc, No. 9
ΔE_f (raw) = -1083 meV/atom

Cell: 5.810 7.462 7.584 Å, 119.47 90.03 89.95°
Positions (direct):
O 0.098 0.677 0.348
O 0.146 0.626 0.820
O 0.145 0.200 0.820
O 0.653 0.813 0.621
O 0.645 0.380 0.180
O 0.646 0.807 0.180
O 0.598 0.329 0.652
O 0.153 0.193 0.379
Na 0.878 0.471 0.538
Na 0.535 0.717 0.855
Na 0.378 0.536 0.462
Na 0.360 0.541 0.075
Na 0.540 0.143 0.281
Na 0.035 0.289 0.145
Na 0.535 0.144 0.855
Na 0.040 0.863 0.719
Na 0.860 0.465 0.925
Na 0.378 0.932 0.462
Na 0.878 0.074 0.538
Na 0.035 0.862 0.145
Cu 0.761 0.668 0.330
Cu 0.261 0.338 0.670

[19]
A relaxed Be2ReHg crystal. Source: Alexandria, functional PBEsol.

## Properties
E_form = 0.42 eV per atom
Space-group type = R-3m, No. 166

Cell: 2.783 2.783 8.338 Å, 80.39 80.39 60.00°
Positions (direct):
Be 0.258 0.258 0.227
Be 0.742 0.742 0.773
Hg 0.500 0.500 0.500
Re 0.000 0.000 0.000

[20]
A relaxed Zr4Os2C crystal. Source: Alexandria, functional PBEsol.

## Properties
E_form = -0.53 eV per atom
Space-group type = Fd-3m, No. 227

Cell: 8.744 8.744 8.744 Å, 60.00 60.00 60.00°
Positions (direct):
Zr 0.125 0.125 0.625
Zr 0.625 0.125 0.125
Zr 0.313 0.687 0.687
Zr 0.687 0.313 0.687
Zr 0.687 0.687 0.313
Zr 0.937 0.563 0.563
Zr 0.125 0.625 0.125
Zr 0.687 0.313 0.313
Zr 0.125 0.125 0.125
Zr 0.313 0.313 0.687
Zr 0.563 0.937 0.563
Zr 0.937 0.563 0.937
Zr 0.937 0.937 0.563
Zr 0.313 0.687 0.313
Zr 0.563 0.563 0.937
Zr 0.563 0.937 0.937
Os 0.916 0.916 0.253
Os 0.334 0.334 0.997
Os 0.334 0.334 0.334
Os 0.334 0.997 0.334
Os 0.916 0.253 0.916
Os 0.916 0.916 0.916
Os 0.997 0.334 0.334
Os 0.253 0.916 0.916
C 0.125 0.625 0.625
C 0.625 0.625 0.625
C 0.625 0.125 0.625
C 0.625 0.625 0.125

[21]
A relaxed TiTeAs crystal. Source: Alexandria, functional PBEsol.

## Properties
Space-group type = Immm, No. 71
ΔE_f (raw) = -759 meV/atom

Cell: 3.536 5.224 7.087 Å, 111.63 104.45 90.00°
Positions (direct):
As 0.000 0.746 0.000
As 0.000 0.254 0.000
Te 0.709 0.709 0.418
Te 0.291 0.291 0.582
Ti 0.382 0.882 0.764
Ti 0.618 0.118 0.236

no.,magnetic moment (μB/f.u.),Fermi-level density of states (states/eV per cell)
1,0.00,0.79
2,4.04,2.56
3,0.00,3.12
4,0.00,0.00
5,0.00,3.09
6,0.00,4.02
7,3.86,7.75
8,0.00,4.63
9,0.00,15.27
10,0.00,0.00
11,0.00,0.72
12,0.00,4.29
13,0.00,4.14
14,0.00,1.47
15,0.18,6.80
16,0.00,2.58
17,0.00,2.72
18,1.02,15.10
19,0.00,2.28
20,0.00,15.74
21,0.00,0.69